Record 1
! YTc2Mo, relaxed, DFT PBE; values from VASP
! total magnetization	0.000	μB/f.u.
! DOS at the Fermi energy	3.857	states/eV/cell
! energy of formation	0.8	eV per formula unit
&SYSTEM
  ibrav = 0, nat = 4, ntyp = 3
/
ATOMIC_SPECIES
Mo 95.94 Mo.upf
Tc 98.00 Tc.upf
Y 88.91 Y.upf
ATOMIC_POSITIONS crystal
Mo 0.500 0.000 0.500
Tc 0.000 0.000 0.000
Tc 0.000 0.500 0.500
Y 0.500 0.500 0.000
CELL_PARAMETERS angstrom
-0.938 2.338 -2.039
-4.420 -0.933 0.963
0.108 3.059 3.459

=====

Record 2
! YTc2Mo2, relaxed, DFT PBE; values from VASP
! offset from the most stable computed form	0.150	eV per atom
! total magnetization	0.000	μB/f.u.
! DOS at the Fermi energy	9.615	states/eV/cell
! energy of formation	1.0	eV per formula unit
&SYSTEM
  ibrav = 0, nat = 10, ntyp = 3
/
ATOMIC_SPECIES
Y 88.91 Y.upf
Mo 95.94 Mo.upf
Tc 98.00 Tc.upf
ATOMIC_POSITIONS crystal
Y 0.000 0.000 0.000
Y 0.500 0.500 0.000
Mo 0.355 0.855 0.000
Mo 0.855 0.645 0.000
Mo 0.645 0.145 0.000
Mo 0.145 0.355 0.000
Tc 0.147 0.647 0.500
Tc 0.647 0.853 0.500
Tc 0.853 0.353 0.500
Tc 0.353 0.147 0.500
CELL_PARAMETERS angstrom
-1.542 2.595 -7.152
1.020 -7.161 -2.818
-2.839 -0.565 0.407

=====

Record 3
! Y2TcMo2, relaxed, DFT PBE; values from VASP
! offset from the most stable computed form	0.350	eV per atom
! total magnetization	0.000	μB/f.u.
! DOS at the Fermi energy	7.484	states/eV/cell
! energy of formation	2.7	eV per formula unit
&SYSTEM
  ibrav = 0, nat = 5, ntyp = 3
/
ATOMIC_SPECIES
Y 88.91 Y.upf
Tc 98.00 Tc.upf
Mo 95.94 Mo.upf
ATOMIC_POSITIONS crystal
Y 0.592 0.592 0.000
Y 0.408 0.408 0.000
Tc 0.000 0.000 0.000
Mo 0.250 0.750 0.500
Mo 0.750 0.250 0.500
CELL_PARAMETERS angstrom
3.008 5.675 7.017
3.835 8.226 2.849
-5.683 -5.952 -4.771

=====

Calculated values (Ry per atom) of energy for the records, taken in order: -0.685 -0.703 -0.621.